Entry 1:
DFT (PBE-GGA) results for crystalline CePr3Pu2Se6 at its relaxed geometry.

D(E_F): 23.946 states/eV/f.u.
Formation energy without anion corrections: -1.751 eV/atom

Lattice parameters (Å, degrees): 7.282 7.282 7.341 99.51 99.51 120.00
Element x y z (fractional)
Ce  0.000  0.000  0.000
Pr  0.166  0.834  0.500
Pr  0.500  0.500  0.500
Pr  0.834  0.166  0.500
Pu  0.333  0.667  0.000
Pu  0.667  0.333  0.000
Se  0.081  0.417  0.241
Se  0.256  0.256  0.759
Se  0.417  0.081  0.241
Se  0.583  0.919  0.759
Se  0.744  0.744  0.241
Se  0.919  0.583  0.759

***

Entry 2:
DFT (PBE-GGA) results for crystalline Pm6Nd3Dy2In at its relaxed geometry.

D(E_F): 15.513 states/eV/f.u.
ΔH_f (0 K): -0.035 eV/atom

Lattice parameters (Å, degrees): 6.258 6.258 11.869 95.12 95.12 120.17
Element x y z (fractional)
Pm  0.080  0.406  0.243
Pm  0.246  0.246  0.755
Pm  0.406  0.080  0.243
Pm  0.594  0.920  0.757
Pm  0.754  0.754  0.245
Pm  0.920  0.594  0.757
Nd  0.169  0.831  0.500
Nd  0.500  0.500  0.500
Nd  0.831  0.169  0.500
Dy  0.334  0.666  0.000
Dy  0.666  0.334  0.000
In  0.000  0.000  0.000

***

| no. | magnetic moment (μB/f.u.) |
| --- | --- |
| 1 | 12.41 |
| 2 | 0.00 |